# 1
# AcNd3Th, relaxed, DFT PBE
# Symmetry: C2/m, No. 12
data_AcNd3Th
_chemical_formula_sum 'Ac2 Nd6 Th2'
_space_group_name_H-M_alt 'P 1'
_space_group_IT_number 1
_space_group_name_Hall 'P 1'
_cell_length_a 6.4867
_cell_length_b 6.4867
_cell_length_c 11.3675
_cell_angle_alpha 90.02
_cell_angle_beta 90.02
_cell_angle_gamma 128.61
loop_
_atom_site_label
_atom_site_type_symbol
_atom_site_fract_x
_atom_site_fract_y
_atom_site_fract_z
Ac1 Ac 0.6550 0.3450 0.5000
Ac2 Ac 0.3450 0.6550 0.5000
Nd1 Nd 0.6516 0.3492 0.1852
Nd2 Nd 0.9997 0.9997 0.6828
Nd3 Nd 0.6508 0.3484 0.8148
Nd4 Nd 0.3492 0.6516 0.1852
Nd5 Nd 0.0003 0.0003 0.3172
Nd6 Nd 0.3484 0.6508 0.8148
Th1 Th 0.8648 0.1352 0.0000
Th2 Th 0.1352 0.8648 0.0000

***

# 2
# AcNd14Th, relaxed, DFT PBE
# Symmetry: P4/mmm, No. 123
data_AcNd14Th
_chemical_formula_sum 'Ac1 Nd14 Th1'
_space_group_name_H-M_alt 'P 1'
_space_group_IT_number 1
_space_group_name_Hall 'P 1'
_cell_length_a 7.3857
_cell_length_b 7.3857
_cell_length_c 10.4590
_cell_angle_alpha 90.00
_cell_angle_beta 90.00
_cell_angle_gamma 90.00
loop_
_atom_site_label
_atom_site_type_symbol
_atom_site_fract_x
_atom_site_fract_y
_atom_site_fract_z
Ac1 Ac 0.3752 0.6248 0.0000
Nd1 Nd 0.3748 0.6252 0.5000
Nd2 Nd 0.8752 0.1248 0.5000
Nd3 Nd 0.8751 0.6250 0.0000
Nd4 Nd 0.8750 0.6250 0.5000
Nd5 Nd 0.3750 0.1249 0.0000
Nd6 Nd 0.3750 0.1250 0.5000
Nd7 Nd 0.6306 0.8806 0.7499
Nd8 Nd 0.6306 0.8806 0.2501
Nd9 Nd 0.1194 0.3694 0.7499
Nd10 Nd 0.1194 0.3694 0.2501
Nd11 Nd 0.1194 0.8806 0.7500
Nd12 Nd 0.1194 0.8806 0.2500
Nd13 Nd 0.6306 0.3694 0.7497
Nd14 Nd 0.6306 0.3694 0.2503
Th1 Th 0.8749 0.1251 0.0000

***

# 3
# AcNd6Th, relaxed, DFT PBE
# Symmetry: P4/mmm, No. 123
data_AcNd6Th
_chemical_formula_sum 'Ac1 Nd6 Th1'
_space_group_name_H-M_alt 'P 1'
_space_group_IT_number 1
_space_group_name_Hall 'P 1'
_cell_length_a 5.2284
_cell_length_b 5.2284
_cell_length_c 10.4902
_cell_angle_alpha 90.00
_cell_angle_beta 90.00
_cell_angle_gamma 90.00
loop_
_atom_site_label
_atom_site_type_symbol
_atom_site_fract_x
_atom_site_fract_y
_atom_site_fract_z
Ac1 Ac 0.0000 0.0000 0.0000
Nd1 Nd 0.5000 0.5000 0.0000
Nd2 Nd 0.5000 0.5000 0.5000
Nd3 Nd 0.5000 0.0000 0.2603
Nd4 Nd 0.5000 0.0000 0.7397
Nd5 Nd 0.0000 0.5000 0.2603
Nd6 Nd 0.0000 0.5000 0.7397
Th1 Th 0.0000 0.0000 0.5000

***

# 4
# Ac2NdTi, relaxed, DFT PBE
# Symmetry: R-3m, No. 166
data_Ac2NdTi
_chemical_formula_sum 'Ac2 Nd1 Ti1'
_space_group_name_H-M_alt 'P 1'
_space_group_IT_number 1
_space_group_name_Hall 'P 1'
_cell_length_a 3.6444
_cell_length_b 3.6444
_cell_length_c 12.8029
_cell_angle_alpha 81.82
_cell_angle_beta 81.82
_cell_angle_gamma 60.00
loop_
_atom_site_label
_atom_site_type_symbol
_atom_site_fract_x
_atom_site_fract_y
_atom_site_fract_z
Ac1 Ac 0.0828 0.0828 0.7516
Ac2 Ac 0.9172 0.9172 0.2484
Nd1 Nd 0.5000 0.5000 0.5000
Ti1 Ti 0.0000 0.0000 0.0000

***

# 5
# AcNdTl2, relaxed, DFT PBE
# Symmetry: R-3m, No. 166
data_AcNdTl2
_chemical_formula_sum 'Ac1 Nd1 Tl2'
_space_group_name_H-M_alt 'P 1'
_space_group_IT_number 1
_space_group_name_Hall 'P 1'
_cell_length_a 4.0266
_cell_length_b 4.0266
_cell_length_c 10.2963
_cell_angle_alpha 78.72
_cell_angle_beta 78.72
_cell_angle_gamma 60.00
loop_
_atom_site_label
_atom_site_type_symbol
_atom_site_fract_x
_atom_site_fract_y
_atom_site_fract_z
Ac1 Ac 0.5000 0.5000 0.5000
Nd1 Nd 0.0000 0.0000 0.0000
Tl1 Tl 0.2542 0.2542 0.2373
Tl2 Tl 0.7458 0.7458 0.7627

***

# 6
# AcNd14Tl, relaxed, DFT PBE
# Symmetry: P4/mmm, No. 123
data_AcNd14Tl
_chemical_formula_sum 'Ac1 Nd14 Tl1'
_space_group_name_H-M_alt 'P 1'
_space_group_IT_number 1
_space_group_name_Hall 'P 1'
_cell_length_a 7.3082
_cell_length_b 7.3082
_cell_length_c 10.4035
_cell_angle_alpha 90.00
_cell_angle_beta 90.00
_cell_angle_gamma 90.01
loop_
_atom_site_label
_atom_site_type_symbol
_atom_site_fract_x
_atom_site_fract_y
_atom_site_fract_z
Ac1 Ac 0.8751 0.1249 0.0000
Nd1 Nd 0.3750 0.6250 0.5000
Nd2 Nd 0.8750 0.1250 0.5000
Nd3 Nd 0.8745 0.6248 0.0000
Nd4 Nd 0.8752 0.6252 0.5000
Nd5 Nd 0.3752 0.1255 0.0000
Nd6 Nd 0.3748 0.1248 0.5000
Nd7 Nd 0.6207 0.8706 0.7516
Nd8 Nd 0.6207 0.8706 0.2484
Nd9 Nd 0.1294 0.3793 0.7516
Nd10 Nd 0.1294 0.3793 0.2484
Nd11 Nd 0.1293 0.8707 0.7518
Nd12 Nd 0.1293 0.8707 0.2482
Nd13 Nd 0.6207 0.3793 0.7514
Nd14 Nd 0.6207 0.3793 0.2486
Tl1 Tl 0.3749 0.6251 0.0000

***

# 7
# AcNdTl, relaxed, DFT PBE
# Energy relative to the lowest polymorph listed for this composition, meV/atom: 48
# Symmetry: I4mm, No. 107
data_AcNdTl
_chemical_formula_sum 'Ac1 Nd1 Tl1'
_space_group_name_H-M_alt 'P 1'
_space_group_IT_number 1
_space_group_name_Hall 'P 1'
_cell_length_a 3.9223
_cell_length_b 3.9223
_cell_length_c 7.4735
_cell_angle_alpha 105.21
_cell_angle_beta 105.21
_cell_angle_gamma 90.00
loop_
_atom_site_label
_atom_site_type_symbol
_atom_site_fract_x
_atom_site_fract_y
_atom_site_fract_z
Ac1 Ac 0.2919 0.2919 0.5839
Nd1 Nd 0.5975 0.5975 0.1950
Tl1 Tl 0.9605 0.9605 0.9211

***

# 8
# AcNd5Tl8, relaxed, DFT PBE
# Symmetry: I-4, No. 82
data_AcNd5Tl8
_chemical_formula_sum 'Ac1 Nd5 Tl8'
_space_group_name_H-M_alt 'P 1'
_space_group_IT_number 1
_space_group_name_Hall 'P 1'
_cell_length_a 8.3205
_cell_length_b 8.3205
_cell_length_c 8.3205
_cell_angle_alpha 110.02
_cell_angle_beta 108.38
_cell_angle_gamma 110.02
loop_
_atom_site_label
_atom_site_type_symbol
_atom_site_fract_x
_atom_site_fract_y
_atom_site_fract_z
Ac1 Ac 0.2500 0.5000 0.7500
Nd1 Nd 0.0126 0.3848 0.1332
Nd2 Nd 0.8668 0.8793 0.2515
Nd3 Nd 0.7485 0.6152 0.6278
Nd4 Nd 0.5000 0.0000 0.5000
Nd5 Nd 0.3722 0.1207 0.9874
Tl1 Tl 0.1238 0.7641 0.0504
Tl2 Tl 0.9496 0.0735 0.7137
Tl3 Tl 0.7761 0.2432 0.3570
Tl4 Tl 0.6430 0.4192 0.8863
Tl5 Tl 0.4671 0.5808 0.2239
Tl6 Tl 0.6403 0.9265 0.8762
Tl7 Tl 0.2863 0.2359 0.3597
Tl8 Tl 0.1137 0.7568 0.5329

***

# 9
# Ac4NdTl4, relaxed, DFT PBE
# Symmetry: P4_2/n, No. 86
data_Ac4NdTl4
_chemical_formula_sum 'Ac8 Nd2 Tl8'
_space_group_name_H-M_alt 'P 1'
_space_group_IT_number 1
_space_group_name_Hall 'P 1'
_cell_length_a 6.4902
_cell_length_b 9.9476
_cell_length_c 9.9476
_cell_angle_alpha 90.00
_cell_angle_beta 90.00
_cell_angle_gamma 90.00
loop_
_atom_site_label
_atom_site_type_symbol
_atom_site_fract_x
_atom_site_fract_y
_atom_site_fract_z
Ac1 Ac 0.3705 0.4213 0.8281
Ac2 Ac 0.8705 0.6719 0.9213
Ac3 Ac 0.3705 0.5787 0.1719
Ac4 Ac 0.1295 0.0787 0.6719
Ac5 Ac 0.6295 0.8281 0.5787
Ac6 Ac 0.1295 0.9213 0.3281
Ac7 Ac 0.8705 0.3281 0.0787
Ac8 Ac 0.6295 0.1719 0.4213
Nd1 Nd 0.0000 0.0000 0.0000
Nd2 Nd 0.5000 0.5000 0.5000
Tl1 Tl 0.6240 0.9006 0.1953
Tl2 Tl 0.6240 0.0994 0.8047
Tl3 Tl 0.1240 0.6953 0.5994
Tl4 Tl 0.8760 0.4006 0.6953
Tl5 Tl 0.8760 0.5994 0.3047
Tl6 Tl 0.3760 0.1953 0.0994
Tl7 Tl 0.3760 0.8047 0.9006
Tl8 Tl 0.1240 0.3047 0.4006

***

# 10
# Ac2NdTl4, relaxed, DFT PBE
# Energy relative to the lowest polymorph listed for this composition, meV/atom: 0
# Symmetry: P2_1/m, No. 11
data_Ac2NdTl4
_chemical_formula_sum 'Ac4 Nd2 Tl8'
_space_group_name_H-M_alt 'P 1'
_space_group_IT_number 1
_space_group_name_Hall 'P 1'
_cell_length_a 6.4478
_cell_length_b 6.6007
_cell_length_c 11.3967
_cell_angle_alpha 90.00
_cell_angle_beta 109.56
_cell_angle_gamma 90.00
loop_
_atom_site_label
_atom_site_type_symbol
_atom_site_fract_x
_atom_site_fract_y
_atom_site_fract_z
Ac1 Ac 0.6523 0.7500 0.9929
Ac2 Ac 0.3477 0.2500 0.0071
Ac3 Ac 0.2877 0.2500 0.4171
Ac4 Ac 0.7123 0.7500 0.5829
Nd1 Nd 0.2262 0.7500 0.1956
Nd2 Nd 0.7738 0.2500 0.8044
Tl1 Tl 0.6913 0.5014 0.2855
Tl2 Tl 0.0789 0.7500 0.8872
Tl3 Tl 0.9211 0.2500 0.1128
Tl4 Tl 0.6913 0.9986 0.2855
Tl5 Tl 0.8572 0.2500 0.5460
Tl6 Tl 0.3087 0.0014 0.7145
Tl7 Tl 0.3087 0.4986 0.7145
Tl8 Tl 0.1428 0.7500 0.4540

***

Number 1: E_form 86 kJ/mol of formula units. Number 2: E_form 46 kJ/mol of formula units. Number 3: E_form 28 kJ/mol of formula units. Number 4: E_form 232 kJ/mol of formula units. Number 5: E_form -94 kJ/mol of formula units. Number 6: E_form -23 kJ/mol of formula units. Number 7: E_form -59 kJ/mol of formula units. Number 8: E_form -407 kJ/mol of formula units. Number 9: E_form -161 kJ/mol of formula units. Number 10: E_form -204 kJ/mol of formula units.